Na10B17C3 | Alexandria via LeMat-Bulk | GGA-PBE | relaxed; D(E_F) = 6.2 states/eV per cell; energy relative to the elements = 227 meV per atom
1.0
7.8720 -0.0440 0.0000
-6.2124 4.8350 0.0000
0.0000 0.0000 8.6717
Na B C
10 17 3
direct
0.2028 0.8035 0.0017
0.2028 0.8035 0.4983
0.3966 0.5966 0.9984
0.3966 0.5966 0.5016
0.9983 0.9989 0.9991
0.9983 0.9989 0.5009
0.6035 0.4028 0.0017
0.6035 0.4028 0.4983
0.7989 0.1983 0.9991
0.7989 0.1983 0.5009
0.1294 0.5319 0.7500
0.4599 0.8635 0.2500
0.1274 0.5086 0.2500
0.4712 0.8887 0.7500
0.3319 0.3294 0.7500
0.6635 0.6599 0.2500
0.3086 0.3274 0.2500
0.6887 0.6712 0.7500
0.2842 0.0820 0.2500
0.9349 0.7420 0.2500
0.2653 0.0526 0.7500
0.8820 0.4842 0.2500
0.5420 0.1349 0.2500
0.8526 0.4653 0.7500
0.7204 0.9204 0.7500
0.7345 0.9345 0.2500
0.0724 0.2724 0.7500
0.9389 0.7350 0.7500
0.5350 0.1389 0.7500
0.0569 0.2569 0.2500

=====

NaPmSbO4 | Alexandria via LeMat-Bulk | GGA-PBE | relaxed; D(E_F) = 5.9 states/eV per cell; formation energy from raw total energies = -2.03 eV per atom
1.0
5.9414 -0.0108 0.0000
-2.3965 5.4367 0.0000
0.0000 0.0000 7.3141
Na Pm Sb O
2 2 2 8
direct
0.8272 0.1728 0.2500
0.1728 0.8272 0.7500
0.5000 0.5000 0.5000
0.5000 0.5000 0.0000
0.1477 0.8523 0.2500
0.8523 0.1477 0.7500
0.2354 0.2850 0.7500
0.7150 0.7646 0.7500
0.7316 0.2684 0.9614
0.7316 0.2684 0.5386
0.2684 0.7316 0.0386
0.2684 0.7316 0.4614
0.7646 0.7150 0.2500
0.2850 0.2354 0.2500

=====

CuSiIr3 | Alexandria via LeMat-Bulk | GGA-PBE | relaxed; D(E_F) = 6.1 states/eV per cell; formation energy from raw total energies = 1.62 eV per atom
1.0
4.4500 0.0000 0.0000
0.0000 4.4500 0.0000
0.0000 0.0000 4.4500
Si Ir Cu
1 3 1
direct
0.5000 0.5000 0.5000
0.0000 0.5000 0.0000
0.0000 0.0000 0.5000
0.5000 0.0000 0.0000
0.0000 0.0000 0.0000

=====

KRbGa2As2 | Alexandria via LeMat-Bulk | GGA-PBE | relaxed; D(E_F) = 4.2 states/eV per cell; energy relative to the elements = -254 meV per atom
1.0
4.5105 0.0000 0.0000
-2.2553 3.9062 0.0000
0.0000 0.0000 10.6811
K Rb Ga As
1 1 2 2
direct
0.0000 0.0000 0.5000
0.0000 0.0000 0.0000
0.6667 0.3333 0.2552
0.3333 0.6667 0.7448
0.6667 0.3333 0.7406
0.3333 0.6667 0.2594

=====

NpTl3Sb2Se6 | Alexandria via LeMat-Bulk | GGA-PBE | relaxed; D(E_F) = 6.9 states/eV per cell; formation energy from raw total energies = -0.53 eV per atom
1.0
-2.3563 3.6448 5.8963
2.8557 -6.7010 0.7381
6.8384 4.1021 -1.3179
Np Tl Sb Se
1 3 2 6
direct
0.0000 0.0000 0.0000
0.1659 0.8341 0.5000
0.8341 0.1659 0.5000
0.5000 0.5000 0.5000
0.3335 0.6665 0.0000
0.6665 0.3335 0.0000
0.9307 0.5978 0.7923
0.7357 0.7357 0.2068
0.0693 0.4022 0.2077
0.5978 0.9307 0.7923
0.2643 0.2643 0.7932
0.4022 0.0693 0.2077

=====

Li7In3Hg | Alexandria via LeMat-Bulk | GGA-PBE | relaxed; D(E_F) = 4.7 states/eV per cell; energy relative to the elements = -206 meV per atom
1.0
3.0233 0.0000 0.0000
-1.5116 10.7599 0.0000
0.0000 0.0000 13.6871
Li In Hg
14 6 2
direct
0.3896 0.7791 0.7500
0.6104 0.2209 0.2500
0.4848 0.9696 0.3878
0.5152 0.0304 0.6122
0.5152 0.0304 0.8878
0.4848 0.9696 0.1122
0.3423 0.6846 0.3890
0.6577 0.3154 0.6110
0.2924 0.5847 0.5732
0.7076 0.4153 0.4268
0.7076 0.4153 0.0732
0.2924 0.5847 0.9268
0.3423 0.6846 0.1110
0.6577 0.3154 0.8890
0.0924 0.1848 0.4567
0.9076 0.8152 0.5433
0.2350 0.4700 0.7500
0.7650 0.5300 0.2500
0.0924 0.1848 0.0433
0.9076 0.8152 0.9567
0.9144 0.8288 0.2500
0.0856 0.1712 0.7500

=====

Al2GaPb | Alexandria via LeMat-Bulk | GGA-PBE | relaxed; D(E_F) = 1.3 states/eV per cell; energy relative to the elements = 168 meV per atom
1.0
-1.7291 0.7984 -3.0016
0.8981 -3.1602 -1.3579
-5.7332 -2.7358 2.5750
Pb Al Ga
1 2 1
direct
0.5000 0.5000 0.5000
0.0000 0.0000 0.8037
0.0000 0.0000 0.1963
0.5000 0.5000 0.0000

=====

Y2NpSe4 | Alexandria via LeMat-Bulk | GGA-PBE | relaxed; D(E_F) = 21.5 states/eV per cell; formation energy from raw total energies = -1.60 eV per atom
1.0
4.0291 0.0000 0.0000
-2.0146 6.7326 0.0000
0.0000 0.0000 13.7456
Y Np Se
4 2 8
direct
0.1329 0.2658 0.4328
0.8671 0.7342 0.9328
0.1329 0.2658 0.0672
0.8671 0.7342 0.5672
0.6202 0.2403 0.7500
0.3798 0.7597 0.2500
0.7741 0.5482 0.1233
0.7741 0.5482 0.3767
0.2259 0.4518 0.8767
0.2259 0.4518 0.6233
0.9626 0.9253 0.7500
0.0374 0.0747 0.2500
0.5000 0.0000 0.0000
0.5000 0.0000 0.5000

=====

ZnIn3 | Alexandria via LeMat-Bulk | GGA-PBE | relaxed; D(E_F) = 1.6 states/eV per cell; energy relative to the elements = 103 meV per atom
1.0
5.4953 0.0000 0.0000
0.0000 3.2001 -0.1968
0.0000 0.6360 5.6164
In Zn
3 1
direct
0.0000 0.0373 0.0063
0.5000 0.7500 0.7500
0.0000 0.4627 0.4937
0.5000 0.2500 0.2500

=====

EuSc2In | Alexandria via LeMat-Bulk | GGA-PBE | relaxed; D(E_F) = 4.5 states/eV per cell; energy relative to the elements = -120 meV per atom
1.0
3.4247 0.0000 0.0000
0.0000 3.4247 0.0000
0.0000 0.0000 9.1451
Eu Sc In
1 2 1
direct
0.5000 0.5000 0.5000
0.0000 0.0000 0.7891
0.0000 0.0000 0.2109
0.5000 0.5000 0.0000

=====

GdBiPd4 | Alexandria via LeMat-Bulk | GGA-PBE | relaxed; D(E_F) = 6.0 states/eV per cell; energy relative to the elements = -541 meV per atom
1.0
-0.1221 -5.1780 1.7328
3.4338 -3.6742 -2.1303
4.1071 -1.9685 3.0142
Gd Bi Pd
1 1 4
direct
0.2500 0.2500 0.2500
0.0000 0.0000 0.0000
0.6246 0.6246 0.1261
0.6246 0.1261 0.6246
0.6246 0.6246 0.6246
0.1261 0.6246 0.6246

=====

Mg3Ta | Alexandria via LeMat-Bulk | GGA-PBE | relaxed; D(E_F) = 3.0 states/eV per cell; energy relative to the elements = 315 meV per atom
1.0
5.3974 -0.0077 0.0033
4.6182 2.7936 0.0033
0.9922 0.2760 5.3792
Mg Ta
3 1
direct
0.5000 0.5000 0.5000
0.7495 0.7495 0.7642
0.2505 0.2505 0.2358
0.0000 0.0000 0.0000